Crystalline Nb3NiAg at its relaxed geometry. Source: Alexandria, functional PBE.

excess energy over the best structure of this formula in the dataset: 0.00 kJ/mol of atoms

Lattice parameters (Å, degrees): 4.6324 4.6324 4.6324 90.00 90.00 90.00
Space group Pm-3m (No. 221)
Unique sites:
Nb 0.0000 0.0000 0.5000 (multiplicity 3)
Ni 0.0000 0.0000 0.0000 (multiplicity 1)
Ag 0.5000 0.5000 0.5000 (multiplicity 1)